A relaxed structure of LiAl4W, computed with PBE-GGA.

Computed properties:
Size of the total moment, μB per atom: 0.146
Volume, Å³ per cell: 94
E_tot, eV per atom: -4.8748

extended XYZ file:
```
6
Lattice="0.0000 3.6120 3.6120 3.6120 0.0000 3.6120 3.6120 3.6120 0.0000" Properties=species:S:1:pos:R:3 pbc="T T T"
W 0.0000 0.0000 0.0000
Li 5.4180 5.4180 5.4180
Al 2.7076 4.5164 4.5164
Al 4.5164 4.5164 2.7076
Al 4.5164 2.7076 4.5164
Al 2.7076 2.7076 2.7076
```

---

A relaxed structure of LiAlW2, computed with PBE-GGA.

Computed properties:
Size of the total moment, μB per atom: 0.000
Volume, Å³ per cell: 64
E_tot, eV per atom: -7.5534

extended XYZ file:
```
4
Lattice="-7.6299 0.0134 -5.8432 -6.1033 -1.8990 -7.1765 -7.7349 -2.6552 -5.0478" Properties=species:S:1:pos:R:3 pbc="T T T"
Li -16.1010 -3.4056 -13.5506
Al -5.3670 -1.1352 -4.5169
W -21.3847 -4.5232 -17.9974
W -10.8174 -2.2881 -9.1039
```

---

A relaxed structure of LiAlW, computed with PBE-GGA.

Computed properties:
Size of the total moment, μB per atom: 0.000
Volume, Å³ per cell: 47
E_tot, eV per atom: -6.0641

extended XYZ file:
```
3
Lattice="-5.8526 2.7845 -2.7680 -5.7237 0.3455 -3.8815 -1.8202 -0.2813 1.9528" Properties=species:S:1:pos:R:3 pbc="T T T"
Al -1.8455 -0.2724 1.9305
Li -5.0949 0.8637 -0.9346
W -8.2764 1.9762 -3.7399
```

---

A relaxed structure of LiAl3W, computed with PBE-GGA.

Computed properties:
Size of the total moment, μB per atom: 0.000
Volume, Å³ per cell: 119
E_tot, eV per atom: -4.7289

extended XYZ file:
```
5
Lattice="4.9230 0.0000 0.0000 0.0000 4.9230 0.0000 0.0000 0.0000 4.9230" Properties=species:S:1:pos:R:3 pbc="T T T"
W 0.0000 0.0000 0.0000
Al 0.0000 0.0000 2.4615
Al 2.4615 0.0000 0.0000
Al 0.0000 2.4615 0.0000
Li 2.4615 2.4615 2.4615
```

---

A relaxed structure of LiAlW, computed with PBE-GGA.

Computed properties:
Size of the total moment, μB per atom: 0.000
Volume, Å³ per cell: 44
E_tot, eV per atom: -5.9209

extended XYZ file:
```
3
Lattice="5.0740 0.0043 -0.0057 3.0996 4.0172 0.0057 -3.8058 -2.5819 2.1436" Properties=species:S:1:pos:R:3 pbc="T T T"
Li 2.8176 1.3863 0.0000
W 5.4328 2.6730 0.0000
Al 8.0969 3.9838 0.0000
```

---

A relaxed structure of LiAlW, computed with PBE-GGA.

Computed properties:
Size of the total moment, μB per atom: 0.000
Volume, Å³ per cell: 93
E_tot, eV per atom: -6.1360

extended XYZ file:
```
6
Lattice="2.7096 0.0011 -0.0004 -0.4151 5.0776 0.0042 -0.6847 -0.5148 6.7268" Properties=species:S:1:pos:R:3 pbc="T T T"
Al 1.8820 0.6664 5.2471
Al 1.8505 4.0556 2.7992
Li 0.7172 1.4716 2.8342
Li 2.1454 2.3978 0.6527
W 0.4265 3.1601 5.0541
W 0.5878 4.8544 0.5379
```

---

A relaxed structure of LiAlW, computed with PBE-GGA.

Computed properties:
Size of the total moment, μB per atom: 0.000
Volume, Å³ per cell: 95
E_tot, eV per atom: -6.0981

extended XYZ file:
```
6
Lattice="-0.6921 -2.2252 -1.4080 3.2716 0.8142 -2.8947 5.0465 -3.8677 4.6157" Properties=species:S:1:pos:R:3 pbc="T T T"
Al 3.7567 -2.9148 0.0153
Al 2.8903 -4.4501 2.0150
Li 1.8512 -2.4308 -2.0021
Li 1.6574 -1.6688 1.4038
W 5.6846 -3.3662 2.0673
W 4.6637 -5.0105 3.8616
```

---

A relaxed structure of LiAlW, computed with PBE-GGA.

Computed properties:
Size of the total moment, μB per atom: 0.001
Volume, Å³ per cell: 56
E_tot, eV per atom: -4.9693

extended XYZ file:
```
3
Lattice="4.2959 0.0000 0.0000 2.1479 3.7203 0.0000 2.1479 1.2401 3.5076" Properties=species:S:1:pos:R:3 pbc="T T T"
W 6.4438 3.7203 2.6307
Li 4.2959 2.4802 1.7538
Al 0.0000 0.0000 0.0000
```

---

A relaxed structure of LiAlW2, computed with PBE-GGA.

Computed properties:
Size of the total moment, μB per atom: 0.000
Volume, Å³ per cell: 59
E_tot, eV per atom: -7.3554

extended XYZ file:
```
4
Lattice="3.3159 0.0000 0.0000 0.0000 3.3159 0.0000 0.0000 0.0000 5.3337" Properties=species:S:1:pos:R:3 pbc="T T T"
Li 1.6579 1.6579 4.0003
Al 1.6579 1.6579 1.3334
W 0.0000 0.0000 5.2508
W 0.0000 0.0000 2.7498
```

---

A relaxed structure of LiAlW, computed with PBE-GGA.

Computed properties:
Size of the total moment, μB per atom: 0.000
Volume, Å³ per cell: 93
E_tot, eV per atom: -6.1325

extended XYZ file:
```
6
Lattice="2.7213 0.0217 -0.0019 -1.2835 5.2139 0.0091 -0.4648 -1.3469 6.5460" Properties=species:S:1:pos:R:3 pbc="T T T"
W 1.1433 1.3823 0.1053
W -0.1703 2.5063 6.4478
Al -0.0818 -0.1244 2.0178
Al 1.0547 4.0130 4.5354
Li 1.2520 1.2187 4.2453
Li -0.2790 2.6699 2.3078
```

---

A relaxed structure of LiAlW, computed with PBE-GGA.

Computed properties:
Size of the total moment, μB per atom: 0.000
Volume, Å³ per cell: 46
E_tot, eV per atom: -5.1631

extended XYZ file:
```
3
Lattice="-2.8587 1.3853 2.4536 -3.6659 -1.6334 -0.0657 -1.2549 -2.2395 3.0856" Properties=species:S:1:pos:R:3 pbc="T T T"
W 0.0000 0.0000 0.0000
Li -5.8346 -1.8658 4.1051
Al -3.8897 -1.2438 2.7367
```

---

A relaxed structure of LiAlW2, computed with PBE-GGA.

Computed properties:
Size of the total moment, μB per atom: 0.000
Volume, Å³ per cell: 61
E_tot, eV per atom: -7.7602

extended XYZ file:
```
4
Lattice="4.3044 0.0000 0.0000 0.0000 2.7289 -0.0022 0.0000 0.7761 5.1693" Properties=species:S:1:pos:R:3 pbc="T T T"
Al 0.0000 2.0722 2.6000
Li 2.1522 2.3640 3.9010
W 2.1522 0.7905 1.2852
W 0.0000 0.8068 5.1338
```